Record 1
Here is PuZnPtO6 after structural relaxation from Alexandria. Energies are from PBE.

Results
Total magnetization in μB per formula unit: 2.00
Final energy in eV per atom: -7.222
E_form (uncorrected) in meV per atom: -1511

Lattice parameters (Å, degrees): 5.2391 5.2391 9.3201 90.00 90.00 120.00
With the nearest neighbours (Å) after each atom.
Space group P-31c (No. 163)
Unique sites:
Pu 0.3333 0.6667 0.2500  6 O 2.09
Zn 0.0000 0.0000 0.0000  6 O 2.15
Pt 0.3333 0.6667 0.7500  6 O 2.04
O 0.0073 0.3428 0.6290  1 Pt 2.04, 1 Pu 2.09, 1 Zn 2.15

***

Record 2
Here is BaLa2Ru after structural relaxation from Alexandria. Energies are from PBE.

Results
Formation energy in eV per atom: -0.0218
Total magnetization in μB per formula unit: 0.00
Final energy in eV per atom: -5.285
Energy above the lowest structure with this stoichiometry in eV/atom: 0.1635

Lattice parameters (Å, degrees): 12.6734 3.9455 7.0217 90.00 120.01 90.00
With the nearest neighbours (Å) after each atom.
Space group Cm (No. 8)
Unique sites:
Ba 0.0000 0.0000 0.0000  3 Ru 3.56-3.71, 2 La 3.88-3.96, 2 Ba 3.95
La 0.1478 0.5000 0.6363  2 Ru 2.74
La 0.3251 0.5000 0.3485  2 Ru 2.71
Ru 0.2621 0.0000 0.5364  4 La 2.71-2.74